A.
PmSnS3 after structural relaxation. Source: the Alexandria database, functional PBE.

The structure in extended XYZ format:
```
10
Lattice="-1.182 6.815 1.171 -6.576 2.437 0.198 -2.804 2.002 6.532" Properties=species:S:1:pos:R:3 pbc="T T T"
Pm -5.375 5.157 6.593
Pm -5.186 6.098 1.308
Sn -7.856 8.762 4.119
Sn -2.705 2.492 3.782
S -5.951 7.767 5.831
S -7.133 3.650 5.056
S -2.916 4.677 5.389
S -4.610 3.487 2.070
S -3.428 7.605 2.845
S -7.645 6.578 2.511
```

## Properties
- space-group type = R-3, No. 148

B.
PmSnS3 after structural relaxation. Source: the Alexandria database, functional PBE.

The structure in extended XYZ format:
```
20
Lattice="-2.008 1.203 -3.161 -6.479 -3.765 2.683 -4.012 11.968 7.103" Properties=species:S:1:pos:R:3 pbc="T T T"
Pm -10.259 7.335 5.638
Pm -2.240 2.071 0.988
Pm -6.574 7.887 3.507
Pm -5.925 1.519 3.118
Sn -6.335 10.499 6.796
Sn -7.968 3.824 5.293
Sn -4.531 5.582 1.332
Sn -6.164 -1.093 -0.171
S -4.947 5.570 4.039
S -7.881 0.167 1.400
S -8.281 9.523 5.214
S -4.013 8.337 2.052
S -7.552 3.836 2.587
S -8.486 1.069 4.574
S -9.798 8.495 8.234
S -4.981 3.063 0.660
S -7.517 6.343 5.966
S -4.618 9.239 5.226
S -2.701 0.911 -1.608
S -4.218 -0.117 1.412
```

## Properties
- space-group type = Pnma, No. 62

It turns out B is the most stable, with the second structure 31 meV/atom higher.

A.
SrPmS2 after structural relaxation. Source: the Alexandria database, functional PBE.

The structure in extended XYZ format:
```
4
Lattice="-2.404 -2.625 -2.044 0.674 -4.039 0.273 -4.811 -2.552 4.834" Properties=species:S:1:pos:R:3 pbc="T T T"
Sr -3.270 -4.608 1.532
Pm 0.000 0.000 0.000
S -4.955 -6.917 2.360
S -1.586 -2.299 0.703
```

## Properties
- space-group type = C2/m, No. 12

B.
SrPmS2 after structural relaxation. Source: the Alexandria database, functional PBE.

The structure in extended XYZ format:
```
4
Lattice="4.046 0.000 0.000 2.023 3.504 0.000 2.023 1.168 7.189" Properties=species:S:1:pos:R:3 pbc="T T T"
Sr 4.046 2.336 3.687
Pm 6.069 3.504 7.121
S 2.023 1.168 5.489
S 2.023 1.168 1.675
```

## Properties
- space-group type = R3m, No. 160

It turns out A is the most stable, with the second structure 93 meV/atom higher.

A.
PmTa4S8 after structural relaxation. Source: the Alexandria database, functional PBE.

The structure in extended XYZ format:
```
13
Lattice="6.003 0.000 -3.239 -3.875 5.614 0.000 0.362 0.250 7.854" Properties=species:S:1:pos:R:3 pbc="T T T"
Pm -1.757 2.932 3.927
Ta 0.000 0.000 0.000
Ta -1.576 3.057 7.853
Ta 1.064 2.807 -1.620
Ta 3.002 0.000 -1.619
S 0.105 4.217 0.193
S 2.385 1.647 4.421
S 2.015 1.391 0.247
S -0.620 1.585 6.034
S 0.475 4.473 4.368
S -2.614 4.473 6.034
S 5.103 1.390 -1.420
S 3.110 4.279 -1.420
```

## Properties
- space-group type = R-3m, No. 166

B.
PmTa4S8 after structural relaxation. Source: the Alexandria database, functional PBE.

The structure in extended XYZ format:
```
13
Lattice="7.309 0.000 0.000 3.655 6.330 0.000 3.655 2.110 5.968" Properties=species:S:1:pos:R:3 pbc="T T T"
Pm 10.964 6.330 4.476
Ta 9.440 2.990 2.114
Ta 7.309 6.681 2.114
Ta 7.309 4.220 5.594
Ta 5.178 2.990 2.114
S 5.544 1.019 0.721
S 3.655 4.292 0.721
S 3.655 2.110 3.806
S 1.765 1.019 0.721
S 5.781 5.102 3.608
S 7.309 2.456 3.608
S 7.309 4.220 1.113
S 8.837 5.102 3.608
```

## Properties
- space-group type = F-43m, No. 216

It turns out A is the most stable, with the second structure 43 meV/atom higher.

A.
TbPm3S6 after structural relaxation. Source: the Alexandria database, functional PBE.

The structure in extended XYZ format:
```
20
Lattice="8.211 -0.007 -0.185 -0.189 8.209 -0.185 -0.007 -0.007 8.213" Properties=species:S:1:pos:R:3 pbc="T T T"
Tb 0.000 0.000 0.000
Tb 4.008 4.098 3.922
Pm 3.377 7.580 5.922
Pm 7.446 6.160 3.247
Pm 1.932 4.652 0.470
Pm 6.083 3.544 7.373
Pm 0.570 2.035 4.596
Pm 4.639 0.615 1.922
S 2.393 7.470 0.415
S 0.558 7.563 5.460
S 4.709 6.688 3.543
S 7.440 5.637 0.439
S 3.685 4.856 6.504
S 1.410 4.404 3.213
S 6.606 3.792 4.631
S 4.331 3.340 1.340
S 0.576 2.558 7.405
S 3.307 1.507 4.300
S 7.458 0.633 2.384
S 5.623 0.725 7.428
```

## Properties
- space-group type = R-3, No. 148

B.
TbPm3S6 after structural relaxation. Source: the Alexandria database, functional PBE.

The structure in extended XYZ format:
```
20
Lattice="-1.442 6.137 -2.426 1.890 -2.228 -6.760 -9.630 -3.046 -1.689" Properties=species:S:1:pos:R:3 pbc="T T T"
Tb -4.591 0.431 -5.438
Tb 0.000 0.000 0.000
Pm -6.273 -0.984 -8.713
Pm 0.224 1.955 -4.593
Pm -2.910 1.846 -2.162
Pm -1.333 -1.826 -4.522
Pm -4.815 -1.523 -0.844
Pm -7.850 2.688 -6.353
S -9.460 0.983 -4.455
S -6.228 1.950 -3.899
S -2.572 2.297 -4.958
S -6.611 -1.435 -5.918
S -2.955 -1.087 -6.976
S 0.277 -0.121 -6.421
S -3.678 -0.851 -3.274
S -0.460 0.132 -2.669
S -7.361 -1.475 -2.103
S -1.821 2.338 -8.773
S -8.723 0.731 -8.207
S -5.504 1.714 -7.601
```

## Properties
- space-group type = P2_1/c, No. 14

It turns out A is the most stable, with the second structure 40 meV/atom higher.

A.
TbPmS2 after structural relaxation. Source: the Alexandria database, functional PBE.

The structure in extended XYZ format:
```
4
Lattice="-1.358 -3.629 0.334 1.279 -2.299 2.865 -5.109 0.304 5.164" Properties=species:S:1:pos:R:3 pbc="T T T"
Tb -2.681 -2.774 4.251
Pm -5.074 -3.688 7.225
S -3.816 -0.277 4.121
S -1.322 -1.395 2.110
```

## Properties
- space-group type = R3m, No. 160

B.
TbPmS2 after structural relaxation. Source: the Alexandria database, functional PBE.

The structure in extended XYZ format:
```
8
Lattice="3.937 0.000 0.000 -1.969 3.410 0.000 0.000 0.000 13.348" Properties=species:S:1:pos:R:3 pbc="T T T"
Tb 0.000 0.000 6.674
Tb 0.000 0.000 0.000
Pm 1.969 1.137 3.337
Pm 0.000 2.273 10.011
S 0.000 2.273 5.089
S 1.969 1.137 11.764
S 1.969 1.137 8.259
S 0.000 2.273 1.585
```

## Properties
- space-group type = P6_3/mmc, No. 194

C.
TbPmS2 after structural relaxation. Source: the Alexandria database, functional PBE.

The structure in extended XYZ format:
```
4
Lattice="-1.567 -0.114 -3.650 -3.908 -0.554 -0.455 -2.774 6.215 -1.178" Properties=species:S:1:pos:R:3 pbc="T T T"
Tb -4.125 2.773 -2.642
Pm 0.000 0.000 0.000
S -6.177 4.094 -3.964
S -2.073 1.453 -1.319
```

## Properties
- space-group type = C2/m, No. 12

It turns out C is the most stable, with the second structure 7 meV/atom higher.

A.
Tb3PmS4 after structural relaxation. Source: the Alexandria database, functional PBE.

The structure in extended XYZ format:
```
8
Lattice="5.594 0.000 0.000 0.000 5.594 0.000 0.000 0.000 5.594" Properties=species:S:1:pos:R:3 pbc="T T T"
Tb 0.000 2.797 2.797
Tb 2.797 0.000 2.797
Tb 2.797 2.797 0.000
Pm 0.000 0.000 0.000
S 2.797 0.000 0.000
S 0.000 2.797 0.000
S 0.000 0.000 2.797
S 2.797 2.797 2.797
```

## Properties
- space-group type = Pm-3m, No. 221

B.
Tb3PmS4 after structural relaxation. Source: the Alexandria database, functional PBE.

The structure in extended XYZ format:
```
8
Lattice="3.919 0.000 0.000 0.000 6.508 -2.204 0.000 -0.040 6.871" Properties=species:S:1:pos:R:3 pbc="T T T"
S 0.000 1.661 1.198
S 1.959 4.849 0.095
S 0.000 4.807 3.468
S 1.959 1.618 4.572
Tb 0.000 -0.020 3.435
Tb 1.959 3.234 2.333
Tb 0.000 3.254 -1.102
Pm 1.959 0.000 0.000
```

## Properties
- space-group type = Cmmm, No. 65

It turns out B is the most stable, with the second structure 14 meV/atom higher.